(1)
## ScCuPt2 (PBE)

Data for an optimized crystal structure of ScCuPt2.

The structure in CIF format:
```
data_ScCuPt2
_cell_length_a 6.357
_cell_length_b 6.357
_cell_length_c 6.357
_cell_angle_alpha 90.00
_cell_angle_beta 90.00
_cell_angle_gamma 90.00
_space_group_name_H-M_alt 'F -4 3 m'
_space_group_IT_number 216
_space_group_name_Hall 'F -4 2 3'
loop_
_atom_site_label
_atom_site_type_symbol
_atom_site_fract_x
_atom_site_fract_y
_atom_site_fract_z
Sc1 Sc 0.000 0.000 0.000
Cu1 Cu 0.250 0.250 0.750
Pt1 Pt 0.000 0.000 0.500
Pt2 Pt 0.250 0.250 0.250
```

## Properties
Spin magnetization in μB per formula unit: 0.00
Calculated density in g/cm³: 12.89
Calculated formation energy in eV per formula unit: -2.53
Crystal system: cubic
E in eV per cell: -100.15


(2)
## RbLi2AcCl6 (PBE)

Data for an optimized crystal structure of RbLi2AcCl6.

The structure in CIF format:
```
data_RbLi2AcCl6
_cell_length_a 7.1309
_cell_length_b 7.1309
_cell_length_c 18.4293
_cell_angle_alpha 90.00
_cell_angle_beta 90.00
_cell_angle_gamma 120.00
_space_group_name_H-M_alt 'R 3'
_space_group_IT_number 146
_space_group_name_Hall 'R 3'
loop_
_atom_site_label
_atom_site_type_symbol
_atom_site_fract_x
_atom_site_fract_y
_atom_site_fract_z
Rb1 Rb 0.0000 0.0000 0.0000
Li1 Li 0.0000 0.0000 0.2323
Li2 Li 0.0000 0.0000 0.7378
Ac1 Ac 0.0000 0.0000 0.5259
Cl1 Cl 0.0039 0.6150 0.4757
Cl2 Cl 0.1140 0.3410 0.3045
```

## Properties
Spin magnetization in μB per formula unit: 0.00
Calculated density in g/cm³: 3.31
Crystal system: trigonal
E in eV per cell: -121.75
Formation energy without anion corrections in kJ per mole of atoms: -199